# 1
Cd2IBr GGA-PBE optimized geometry; offset from the most stable computed form = 0.000 eV per atom
1.0
-4.248 -4.137 3.925
5.019 -5.036 0.124
3.046 -1.791 7.851
I Br Cd
2 2 4
Cartesian
0.000 0.000 0.000 I
-0.408 -5.257 6.900 I
0.385 -4.586 2.024 Br
4.225 -5.707 5.000 Br
-1.167 -3.566 4.340 Cd
3.268 -4.209 2.622 Cd
2.691 -4.901 7.409 Cd
2.842 -9.252 9.428 Cd

# 2
CePm2Tl2 GGA-PBE optimized geometry; offset from the most stable computed form = 0.000 eV per atom
1.0
-1.004 2.210 4.737
1.325 -5.146 -0.309
12.419 3.127 1.172
Ce Pm Tl
2 4 4
Cartesian
9.086 2.103 3.934 Ce
3.653 -1.912 1.666 Ce
7.525 -0.937 2.031 Pm
0.540 -0.049 3.128 Pm
5.215 1.128 3.569 Pm
12.200 0.240 2.473 Pm
7.772 1.957 0.734 Tl
1.563 0.394 0.147 Tl
4.646 1.170 0.439 Tl
10.856 2.734 1.025 Tl

# 3
Y4Ho5 GGA-PBE optimized geometry; offset from the most stable computed form = 0.000 eV per atom
1.0
3.562 0.244 0.547
1.047 8.936 1.134
0.564 -1.486 8.928
Y Ho
4 5
Cartesian
2.295 4.648 6.852 Y
1.431 -0.340 2.766 Y
3.602 5.033 10.086 Y
2.855 2.572 4.110 Y
0.584 -1.056 8.606 Ho
0.705 1.558 6.652 Ho
0.886 5.462 3.732 Ho
1.458 3.344 0.936 Ho
3.875 7.823 7.075 Ho

# 4
BeCoAg2 GGA-PBE optimized geometry; uncorrected energy = -0.1414 Ha/atom
1.0
5.114 0.008 0.002
2.421 4.505 -0.002
-3.179 -3.240 2.357
Be Co Ag
1 1 2
Cartesian
3.647 2.184 0.000 Be
1.806 1.941 1.178 Co
0.056 0.034 0.000 Ag
2.615 -0.630 1.179 Ag

# 5
Ni2SbHRu GGA-PBE optimized geometry; uncorrected energy = -0.2112 Ha/atom
1.0
-2.804 2.576 0.631
-1.007 -0.185 -3.721
-2.455 -2.870 0.807
Sb Ni H Ru
1 2 1 1
Cartesian
-3.133 -0.240 -1.141 Sb
-0.504 -0.092 -1.860 Ni
-1.402 1.288 0.315 Ni
0.000 0.000 0.000 H
-1.228 -1.435 0.404 Ru

# 6
CaZr2Co GGA-PBE optimized geometry; offset from the most stable computed form = 0.404 eV per atom
1.0
1.135 0.859 4.620
1.094 4.488 1.426
-3.061 2.453 2.825
Ca Co Zr
1 1 2
Cartesian
0.000 0.000 0.000 Ca
-0.416 3.900 4.435 Co
-0.208 1.950 2.218 Zr
-0.624 5.850 6.653 Zr

| no. | magnetization (Bohr magnetons per cell) |
| --- | --- |
| 1 | 0.0 |
| 2 | 2.2 |
| 3 | 0.0 |
| 4 | 1.0 |
| 5 | 0.0 |
| 6 | 0.0 |